! GGA-PBEsol Ca2Ti2O5, relaxed; values from VASP
! ρ (g/cm3): 3.847
! Energy relative to the lowest polymorph listed for this composition (eV per atom): 0.000
! D(E_F) (states/eV per cell): 10.78
&SYSTEM
  ibrav = 0, nat = 36, ntyp = 3
/
ATOMIC_SPECIES
O 16.00 O.upf
Ca 40.08 Ca.upf
Ti 47.87 Ti.upf
ATOMIC_POSITIONS crystal
O 0.9595 0.2551 0.4726
O 0.5390 0.0368 0.2449
O 0.7500 0.4633 0.9609
O 0.4595 0.2449 0.9726
O 0.4693 0.5384 0.7453
O 0.7500 0.9633 0.5391
O 0.9754 0.7547 0.9572
O 0.5405 0.7551 0.0274
O 0.9693 0.9616 0.2453
O 0.0405 0.7449 0.5274
O 0.0390 0.4632 0.7449
O 0.2500 0.0367 0.4609
O 0.5307 0.4616 0.2547
O 0.4754 0.7453 0.4572
O 0.5246 0.2547 0.5428
O 0.4610 0.9632 0.7551
O 0.9610 0.5368 0.2551
O 0.2500 0.5367 0.0391
O 0.0246 0.2453 0.0428
O 0.0307 0.0384 0.7547
Ca 0.7735 0.2473 0.7379
Ca 0.7265 0.7473 0.7621
Ca 0.7340 0.7588 0.2625
Ca 0.7660 0.2588 0.2375
Ca 0.2660 0.2412 0.7375
Ca 0.2265 0.7527 0.2621
Ca 0.2340 0.7412 0.7625
Ca 0.2735 0.2527 0.2379
Ti 0.0000 0.5000 0.0000
Ti 0.0000 0.5000 0.5000
Ti 0.5000 0.5000 0.5000
Ti 0.0000 0.0000 0.0000
Ti 0.5000 0.0000 0.5000
Ti 0.0000 0.0000 0.5000
Ti 0.5000 0.0000 0.0000
Ti 0.5000 0.5000 0.0000
CELL_PARAMETERS angstrom
7.4903 0.0000 0.0468
0.0000 7.6783 0.0000
-0.0261 0.0000 7.6813